Compound: PuCr2RhO8
Source: Alexandria via LeMat-Bulk
Functional: PBE with a Hubbard U
Structure: optimized geometry

Unit cell a=4.717 b=4.717 c=6.187 alpha=90.00 beta=90.00 gamma=91.45
Positions (direct):
Pu  0.000  0.000  0.500
Cr  0.500  0.500  0.758
Cr  0.500  0.500  0.242
Rh  0.000  0.000  0.000
O  0.202  0.798  0.245
O  0.697  0.697  0.000
O  0.798  0.202  0.245
O  0.798  0.202  0.755
O  0.303  0.303  0.000
O  0.202  0.798  0.755
O  0.687  0.687  0.500
O  0.313  0.313  0.500

The total energy is -8.178 eV/atom.